(1)
The following is a DFT calculation (GGA-PBE) of a relaxed structure of Tc2MoP.

Cell lengths 3.0516, 7.4203, 5.1961 Å; angles 90.00, 107.08, 90.00 degrees
Fractional coordinates of all 8 atoms:
Tc  0.1295  0.0540  0.2585
Tc  0.1295  0.4460  0.2585
Tc  0.8705  0.5540  0.7415
Tc  0.8705  0.9460  0.7415
Mo  0.4417  0.2500  0.8845
Mo  0.5583  0.7500  0.1155
P  0.2572  0.7500  0.5153
P  0.7428  0.2500  0.4847

The space group is P2_1/m (11). For the formation energy from the elements, the calculation gives -302.4 meV per atom.

(2)
The following is a DFT calculation (GGA-PBE) of a relaxed structure of TbPm2MgN.

Cell lengths 5.0690, 5.0690, 4.8403 Å; angles 90.00, 90.00, 90.00 degrees
Fractional coordinates of all 5 atoms:
Tb  0.0000  0.0000  0.0000
Pm  0.0000  0.5000  0.5000
Pm  0.5000  0.0000  0.5000
Mg  0.5000  0.5000  0.0000
N  0.0000  0.0000  0.5000

The space group is P4/mmm (123).

(3)
The following is a DFT calculation (GGA-PBE) of a relaxed structure of Li2CrCo.

Cell lengths 5.1748, 5.1748, 2.4591 Å; angles 101.84, 101.84, 124.41 degrees
Fractional coordinates of all 4 atoms:
Li  0.0000  0.5000  0.0000
Li  0.5000  0.0000  0.0000
Cr  0.0000  0.0000  0.5000
Co  0.5000  0.5000  0.5000

The value obtained for the polymorph energy (0 for the lowest one) is 103 meV per atom. The space group is C2/m (12). For the formation energy from the elements, the calculation gives 362.4 meV per atom.

(4)
The following is a DFT calculation (GGA-PBE) of a relaxed structure of LaTcPb2O6.

Cell lengths 6.0520, 5.9530, 10.3949 Å; angles 90.00, 125.45, 90.00 degrees
Fractional coordinates of all 20 atoms:
La  0.0000  0.0000  0.0000
La  0.0000  0.5000  0.5000
Tc  0.5000  0.0000  0.5000
Tc  0.5000  0.5000  0.0000
Pb  0.2551  0.0335  0.7607
Pb  0.2551  0.4665  0.2607
Pb  0.7449  0.5335  0.7393
Pb  0.7449  0.9665  0.2393
O  0.1813  0.1840  0.4436
O  0.1813  0.3160  0.9436
O  0.2923  0.7152  0.4591
O  0.2923  0.7848  0.9591
O  0.3714  0.0163  0.2748
O  0.3714  0.4837  0.7748
O  0.6286  0.5163  0.2252
O  0.6286  0.9837  0.7252
O  0.7077  0.2152  0.0409
O  0.7077  0.2848  0.5409
O  0.8187  0.6840  0.0564
O  0.8187  0.8160  0.5564

The space group is P2_1/c (14).

(5)
The following is a DFT calculation (GGA-PBE) of a relaxed structure of KSe2Br.

Cell lengths 8.8943, 8.8943, 8.8943 Å; angles 153.52, 153.52, 37.80 degrees
Fractional coordinates of all 4 atoms:
K  0.0000  0.0000  0.0000
Se  0.2500  0.7500  0.5000
Se  0.7500  0.2500  0.5000
Br  0.5000  0.5000  0.0000

The value obtained for the polymorph energy (0 for the lowest one) is 232 meV per atom. The space group is I4/mmm (139).

(6)
The following is a DFT calculation (GGA-PBE) of a relaxed structure of BaNp4S8.

Cell lengths 8.7965, 8.7965, 8.7965 Å; angles 54.09, 54.09, 54.09 degrees
Fractional coordinates of all 13 atoms:
Ba  0.0000  0.0000  0.0000
Np  0.0000  0.0000  0.5000
Np  0.0000  0.5000  0.0000
Np  0.5000  0.0000  0.0000
Np  0.5000  0.5000  0.5000
S  0.2281  0.2281  0.2281
S  0.2283  0.7328  0.7328
S  0.2672  0.2672  0.7717
S  0.2672  0.7717  0.2672
S  0.7328  0.2283  0.7328
S  0.7328  0.7328  0.2283
S  0.7717  0.2672  0.2672
S  0.7719  0.7719  0.7719

The value obtained for the polymorph energy (0 for the lowest one) is 0 meV per atom. The space group is R-3m (166).

no.,uncorrected energy (eV per cell)
1,-76.37
2,-27.28
3,-19.11
4,-139.97
5,-11.57
6,-105.77